# 1
This record from Alexandria via LeMat-Bulk describes a relaxed Tb2DyPb crystal. The functional is GGA-PBE.

Calculated values
Symmetry ... R-3m
DOS at the Fermi energy ... 3.91 states/eV/f.u.
Offset from the most stable computed form ... 1.32 eV per formula unit
Formation energy from the elements ... 0.041 eV per atom

Cell lengths 3.538, 3.538, 36.153 Å; angles 90.00, 90.00, 120.00 degrees
Fractional coordinates of all 12 atoms:
1 Tb 0.000 0.000 0.088
2 Tb 0.000 0.000 0.912
3 Tb 0.333 0.667 0.579
4 Tb 0.333 0.667 0.755
5 Tb 0.667 0.333 0.245
6 Tb 0.667 0.333 0.421
7 Dy 0.000 0.000 0.500
8 Dy 0.333 0.667 0.167
9 Dy 0.667 0.333 0.833
10 Pb 0.000 0.000 0.000
11 Pb 0.333 0.667 0.667
12 Pb 0.667 0.333 0.333

=====

# 2
This record from Alexandria via LeMat-Bulk describes a relaxed HfTiTl2 crystal. The functional is GGA-PBE.

Calculated values
Symmetry ... I-42d
DOS at the Fermi energy ... 3.63 states/eV/f.u.
Offset from the most stable computed form ... 1.08 eV per formula unit
Formation energy from the elements ... 0.402 eV per atom

Cell lengths 7.808, 7.808, 6.087 Å; angles 90.00, 90.00, 90.00 degrees
Fractional coordinates of all 16 atoms:
1 Hf 0.000 0.000 0.000
2 Hf 0.000 0.500 0.250
3 Hf 0.500 0.000 0.750
4 Hf 0.500 0.500 0.500
5 Ti 0.000 0.000 0.500
6 Ti 0.000 0.500 0.750
7 Ti 0.500 0.000 0.250
8 Ti 0.500 0.500 0.000
9 Tl 0.238 0.250 0.625
10 Tl 0.250 0.738 0.875
11 Tl 0.250 0.762 0.375
12 Tl 0.262 0.250 0.125
13 Tl 0.738 0.750 0.125
14 Tl 0.750 0.238 0.375
15 Tl 0.750 0.262 0.875
16 Tl 0.762 0.750 0.625

=====

# 3
This record from Alexandria via LeMat-Bulk describes a relaxed LaDy7Tl2 crystal. The functional is GGA-PBE.

Calculated values
Symmetry ... Cmmm
DOS at the Fermi energy ... 19.23 states/eV/f.u.
Formation energy from the elements ... 0.356 eV per atom

Cell lengths 8.890, 8.890, 5.568 Å; angles 90.00, 90.00, 118.07 degrees
Fractional coordinates of all 10 atoms:
1 La 0.000 0.000 0.000
2 Dy 0.058 0.303 0.500
3 Dy 0.236 0.764 0.000
4 Dy 0.303 0.058 0.500
5 Dy 0.500 0.500 0.500
6 Dy 0.697 0.942 0.500
7 Dy 0.764 0.236 0.000
8 Dy 0.942 0.697 0.500
9 Tl 0.304 0.696 0.500
10 Tl 0.696 0.304 0.500

=====

Number 1: VASP energy -4.35 eV per atom. Number 2: VASP energy -5.24 eV per atom. Number 3: VASP energy -3.83 eV per atom.